1.
DFT (PBE) results for a geometry-optimized CaAgRhPb structure.

Geometry as extended XYZ:
```
4
Lattice="4.908 0.000 0.000 2.454 4.251 0.000 2.454 1.417 4.008" Properties=species:S:1:pos:R:3 pbc="T T T"
Pb 4.908 2.834 2.004
Ca 0.000 0.000 0.000
Rh 7.362 4.251 3.006
Ag 2.454 1.417 1.002
```

Results
As for the energy relative to the elements: -0.200 eV per atom. The space-group type is F-43m, No. 216. The value obtained for the raw total energy is -16.71 eV per cell.

***

2.
DFT (PBE) results for a geometry-optimized Cd3Hg2 structure.

Geometry as extended XYZ:
```
10
Lattice="8.246 0.000 0.000 4.123 7.142 0.000 4.123 2.381 4.325" Properties=species:S:1:pos:R:3 pbc="T T T"
Cd 6.601 7.142 3.244
Cd 9.892 2.381 1.081
Cd 11.131 4.996 3.244
Cd 5.362 4.526 1.081
Cd 9.485 7.376 1.081
Cd 7.007 2.146 3.244
Hg 4.123 2.381 2.821
Hg 12.369 7.142 1.504
Hg 8.246 4.761 0.659
Hg 8.246 4.761 3.666
```

Results
As for the energy relative to the elements: 0.054 eV per atom. As for the relative energy among the computed polymorphs: 0.16 eV per formula unit. The space-group type is R-3c, No. 167. The value obtained for the raw total energy is -6.15 eV per cell.

***

3.
DFT (PBE) results for a geometry-optimized NdErPtI structure.

Geometry as extended XYZ:
```
4
Lattice="-3.644 1.014 -1.799 0.227 -0.459 4.156 4.144 7.258 0.576" Properties=species:S:1:pos:R:3 pbc="T T T"
Er 0.091 0.027 3.786
Pt 2.638 6.445 2.247
I -1.940 3.400 0.052
Nd 0.993 5.396 0.112
```

Results
The space-group type is R3m, No. 160. The value obtained for the raw total energy is -21.34 eV per cell. The calculation puts the formation energy from raw total energies at -1.11 eV/atom.

***

4.
DFT (PBE) results for a geometry-optimized SbPdI2Br structure.

Geometry as extended XYZ:
```
5
Lattice="5.823 0.000 0.000 0.000 5.823 0.000 0.000 0.000 5.735" Properties=species:S:1:pos:R:3 pbc="T T T"
Pd 2.912 2.912 2.867
I 2.912 0.000 0.000
I 0.000 2.912 0.000
Br 0.000 0.000 0.000
Sb 0.000 0.000 2.867
```

Results
As for the relative energy among the computed polymorphs: 4.07 eV per formula unit. The space-group type is P4/mmm, No. 123. The value obtained for the raw total energy is -9.19 eV per cell. The calculation puts the formation energy from raw total energies at 0.98 eV/atom.

***

5.
DFT (PBE) results for a geometry-optimized K2TcBi structure.

Geometry as extended XYZ:
```
8
Lattice="13.234 0.000 0.000 0.000 13.234 0.000 6.617 6.617 2.633" Properties=species:S:1:pos:R:3 pbc="T T T"
Tc 6.617 6.617 0.000
Tc 6.617 13.234 1.317
K 6.512 9.925 0.658
K 6.722 3.308 0.658
K 9.925 13.129 1.975
K 16.542 13.339 1.975
Bi 0.000 0.000 0.000
Bi 13.234 6.617 1.317
```

Results
As for the energy relative to the elements: 0.696 eV per atom. The space-group type is I-42d, No. 122. The value obtained for the raw total energy is -27.32 eV per cell.

***

6.
DFT (PBE) results for a geometry-optimized TbNd8Y4 structure.

Geometry as extended XYZ:
```
13
Lattice="4.838 -0.538 -5.519 -2.532 6.594 2.025 -0.047 3.780 14.271" Properties=species:S:1:pos:R:3 pbc="T T T"
Nd 2.100 2.160 1.616
Nd 2.107 7.149 6.013
Nd 0.153 2.686 4.764
Nd 0.713 5.772 2.724
Nd 3.729 3.817 5.559
Nd -1.469 6.019 5.217
Nd 1.546 4.063 8.053
Nd 0.160 7.676 9.161
Y -1.266 3.297 1.012
Y 1.153 3.028 -1.747
Y 0.000 0.000 0.000
Y 2.419 -0.269 -2.760
Tb -1.289 5.187 8.148
```

Results
As for the energy relative to the elements: 0.184 eV per atom. The space-group type is C2/m, No. 12. The value obtained for the raw total energy is -66.24 eV per cell.

***

7.
DFT (PBE) results for a geometry-optimized TaMo4W2 structure.

Geometry as extended XYZ:
```
7
Lattice="-4.346 1.585 0.276 -0.667 -2.081 1.454 2.828 6.358 8.030" Properties=species:S:1:pos:R:3 pbc="T T T"
Ta -0.333 -1.041 0.727
Mo 1.505 2.879 7.181
Mo 0.656 1.398 2.302
Mo -0.018 5.386 7.702
Mo -2.167 0.476 2.057
W -0.966 3.035 6.271
W -1.219 2.827 3.488
```

Results
As for the energy relative to the elements: 0.793 eV per atom. The space-group type is Cmmm, No. 65. The value obtained for the raw total energy is -75.53 eV per cell.

***

8.
DFT (PBE) results for a geometry-optimized DyZrHgAu structure.

Geometry as extended XYZ:
```
4
Lattice="-3.713 -3.308 -0.884 0.483 -4.798 1.501 -2.795 -1.742 3.829" Properties=species:S:1:pos:R:3 pbc="T T T"
Hg -3.012 -4.925 2.223
Au 0.000 0.000 0.000
Zr -1.506 -2.462 1.111
Dy -4.519 -7.387 3.334
```

Results
As for the energy relative to the elements: -0.414 eV per atom. The space-group type is F-43m, No. 216. The value obtained for the raw total energy is -18.38 eV per cell.

***

9.
DFT (PBE) results for a geometry-optimized Ac6CoAu2 structure.

Geometry as extended XYZ:
```
18
Lattice="-1.089 5.339 -4.922 -7.611 0.391 2.109 2.396 8.165 7.134" Properties=species:S:1:pos:R:3 pbc="T T T"
Ac -3.882 4.142 1.152
Ac -6.467 11.061 3.155
Ac -2.018 4.215 -2.406
Ac -1.176 5.674 3.871
Ac -5.161 6.542 4.192
Ac -2.422 9.754 3.168
Ac -1.143 7.354 0.128
Ac -0.321 8.814 6.412
Ac -4.286 9.681 6.727
Ac 0.162 2.835 1.165
Ac -5.128 8.222 0.449
Ac -5.983 5.082 -2.091
Au 0.473 8.385 3.238
Au -3.491 7.087 -2.175
Au -6.777 5.510 1.082
Au -2.813 6.809 6.495
Co -4.350 2.865 -1.407
Co 1.198 4.083 3.567
```

Results
As for the energy relative to the elements: -0.386 eV per atom. The space-group type is P2_1/c, No. 14. The value obtained for the raw total energy is -83.56 eV per cell.

***

10.
DFT (PBE) results for a geometry-optimized As2CSeBr structure.

Geometry as extended XYZ:
```
5
Lattice="5.169 0.000 0.000 0.000 5.169 0.000 0.000 0.000 5.230" Properties=species:S:1:pos:R:3 pbc="T T T"
As 0.000 2.585 0.000
As 2.585 0.000 0.000
Se 0.000 0.000 0.000
Br 0.000 0.000 2.615
C 2.585 2.585 2.615
```

Results
As for the relative energy among the computed polymorphs: 4.36 eV per formula unit. The space-group type is P4/mmm, No. 123. The value obtained for the raw total energy is -13.41 eV per cell. The calculation puts the formation energy from raw total energies at 2.05 eV/atom.

***

11.
DFT (PBE) results for a geometry-optimized Co2Si structure.

Geometry as extended XYZ:
```
6
Lattice="1.307 4.394 -0.015 -1.307 4.394 -0.015 0.000 0.955 5.719" Properties=species:S:1:pos:R:3 pbc="T T T"
Co 0.000 5.626 1.537
Co 0.000 9.500 5.577
Co 0.000 3.270 1.968
Co 0.000 6.678 3.867
Si 0.000 9.123 3.281
Si 0.000 3.153 5.582
```

Results
The space-group type is Cm, No. 8. The value obtained for the raw total energy is -41.23 eV per cell. The calculation puts the formation energy from raw total energies at -0.33 eV/atom.

***

12.
DFT (PBE) results for a geometry-optimized TaNi2Ru structure.

Geometry as extended XYZ:
```
4
Lattice="0.000 2.993 2.993 2.993 0.000 2.993 2.993 2.993 0.000" Properties=species:S:1:pos:R:3 pbc="T T T"
Ru 0.000 0.000 0.000
Ni 4.490 4.490 4.490
Ni 1.497 1.497 1.497
Ta 2.993 2.993 2.993
```

Results
As for the energy relative to the elements: -0.041 eV per atom. As for the relative energy among the computed polymorphs: 1.13 eV per formula unit. The space-group type is Fm-3m, No. 225. The value obtained for the raw total energy is -32.85 eV per cell.